1.
This record from the Alexandria database describes crystalline CuAg2I2Cl at its relaxed geometry. The functional is PBE.

Lattice parameters (Å, degrees): 7.0831 7.5818 7.7462 119.30 90.00 90.00
Last column: nearest neighbours and their distance in Å.
Element x y z (fractional)
1 I 0.7932 0.5345 0.6943  1 Cu 2.63, 3 Ag 2.86
2 Cu 0.1640 0.1349 0.0000  2 Cl 2.37, 2 I 2.63
3 Ag 0.1969 0.8344 0.3123  1 Cl 2.70, 3 I 2.86
4 Cl 0.8292 0.1372 0.0000  2 Cu 2.37
5 Ag 0.6969 0.4779 0.3123  1 Cl 2.70, 3 I 2.86
6 I 0.7932 0.8402 0.3057  1 Cu 2.63, 3 Ag 2.86
7 Cl 0.3292 0.8628 0.0000  2 Cu 2.37
8 Cu 0.6640 0.8651 0.0000  2 Cl 2.37, 2 I 2.63
9 I 0.2932 0.4655 0.3057  1 Cu 2.63, 3 Ag 2.86
10 Ag 0.1969 0.5221 0.6877  1 Cl 2.70, 3 I 2.86
11 I 0.2932 0.1598 0.6943  1 Cu 2.63, 3 Ag 2.86
12 Ag 0.6969 0.1656 0.6877  1 Cl 2.70, 3 I 2.86

Values from the calculation:
The value obtained for the formation energy from raw total energies is -0.277 eV/atom. As for the space-group type: No. 36. The calculation puts the total magnetization at 0.00 μB/cell.


2.
This record from the Alexandria database describes crystalline CuAgICl2 at its relaxed geometry. The functional is PBE.

Lattice parameters (Å, degrees): 4.0531 10.5770 7.2268 66.59 90.00 90.00
Last column: nearest neighbours and their distance in Å.
Element x y z (fractional)
1 I 0.7500 0.8005 0.0204  1 Cu 2.65, 2 Ag 2.83
2 I 0.2500 0.1995 0.9796  1 Cu 2.65, 2 Ag 2.83
3 Cu 0.2500 0.3469 0.5852  4 Cl 2.35-2.44
4 Cl 0.7500 0.8533 0.4817  1 Cu 2.35
5 Cl 0.2500 0.5686 0.6126  3 Cu 2.43-2.44
6 Ag 0.7500 0.1709 0.2665  2 Cl 2.67, 2 I 2.83
7 Cl 0.7500 0.4314 0.3874  3 Cu 2.43-2.44
8 Cl 0.2500 0.1467 0.5183  1 Cu 2.35
9 Cu 0.7500 0.6531 0.4148  4 Cl 2.35-2.44
10 Ag 0.2500 0.8291 0.7335  2 Cl 2.67, 2 I 2.83

Values from the calculation:
The value obtained for the formation energy from raw total energies is -0.343 eV/atom. As for the space-group type: No. 11. The calculation puts the total magnetization at 1.09 μB/cell.


3.
This record from the Alexandria database describes crystalline InCu2AgCl at its relaxed geometry. The functional is PBE.

Lattice parameters (Å, degrees): 4.3922 6.0647 4.3922 90.00 90.00 90.00
Last column: nearest neighbours and their distance in Å.
Element x y z (fractional)
1 Cu 0.5000 0.0000 0.0000  2 Cl 2.20
2 In 0.0000 0.5000 0.0000  2 Cl 3.03, 4 Ag 3.11
3 Ag 0.5000 0.5000 0.5000  4 In 3.11
4 Cu 0.0000 0.0000 0.5000  2 Cl 2.20
5 Cl 0.0000 0.0000 0.0000  4 Cu 2.20

Values from the calculation:
The value obtained for the formation energy from raw total energies is 0.549 eV/atom. As for the space-group type: No. 123. The calculation puts the total magnetization at 0.00 μB/cell.


4.
This record from the Alexandria database describes crystalline KCu3Ag4Cl12 at its relaxed geometry. The functional is PBE.

Lattice parameters (Å, degrees): 8.4846 8.4846 8.4846 109.47 109.47 109.47
Last column: nearest neighbours and their distance in Å.
Element x y z (fractional)
1 Cl 0.3298 0.8375 0.1673  1 Cu 2.31
2 Cl 0.6702 0.1625 0.8327  1 Cu 2.31
3 Ag 0.5000 0.0000 0.0000  6 Cl 2.71
4 Cl 0.1625 0.4924 0.3298  1 Cu 2.31
5 Cu 0.5000 0.5000 0.0000  4 Cl 2.31
6 Cu 0.5000 0.0000 0.5000  4 Cl 2.31
7 Cl 0.3298 0.1625 0.4924  1 Cu 2.31
8 Cl 0.8375 0.5076 0.6702  1 Cu 2.31
9 Cl 0.8375 0.1673 0.3298  1 Cu 2.31
10 Cl 0.5076 0.6702 0.8375  1 Cu 2.31
11 Cl 0.1673 0.3298 0.8375  1 Cu 2.31
12 Cu 0.0000 0.5000 0.5000  4 Cl 2.31
13 Ag 0.5000 0.5000 0.5000  6 Cl 2.71
14 Cl 0.4924 0.3298 0.1625  1 Cu 2.31
15 Cl 0.1625 0.8327 0.6702  1 Cu 2.31
16 Ag 0.0000 0.0000 0.5000  6 Cl 2.71
17 Ag 0.0000 0.5000 0.0000  6 Cl 2.71
18 Cl 0.8327 0.6702 0.1625  1 Cu 2.31
19 K 0.0000 0.0000 0.0000  12 Cl 3.60
20 Cl 0.6702 0.8375 0.5076  1 Cu 2.31

Values from the calculation:
The value obtained for the formation energy from raw total energies is -0.592 eV/atom. As for the space-group type: No. 204. The calculation puts the total magnetization at 2.88 μB/cell.


5.
This record from the Alexandria database describes crystalline K4CuAg3Cl12 at its relaxed geometry. The functional is PBE.

Lattice parameters (Å, degrees): 8.7673 8.7673 8.7673 109.47 109.47 109.47
Last column: nearest neighbours and their distance in Å.
Element x y z (fractional)
1 Cl 0.2376 0.0000 0.2376  1 Cu 2.41, 1 Ag 2.66
2 Cl 0.5000 0.2500 0.7500  2 Ag 2.53
3 Cl 0.2500 0.5000 0.7500  2 Ag 2.53
4 Cl 0.0000 0.2376 0.2376  1 Cu 2.41, 1 Ag 2.66
5 Cl 0.0000 0.7624 0.7624  1 Cu 2.41, 1 Ag 2.66
6 K 0.5000 0.5000 0.5000  12 Cl 3.58
7 Cu 0.0000 0.0000 0.0000  6 Cl 2.41
8 K 0.5000 0.0000 0.0000  12 Cl 3.58
9 K 0.0000 0.5000 0.0000  12 Cl 3.58
10 Cl 0.2500 0.7500 0.5000  2 Ag 2.53
11 Cl 0.7500 0.5000 0.2500  2 Ag 2.53
12 Cl 0.7500 0.2500 0.5000  2 Ag 2.53
13 Ag 0.0000 0.5000 0.5000  6 Cl 2.53-2.66
14 K 0.0000 0.0000 0.5000  12 Cl 3.58
15 Cl 0.5000 0.7500 0.2500  2 Ag 2.53
16 Ag 0.5000 0.5000 0.0000  6 Cl 2.53-2.66
17 Cl 0.7624 0.0000 0.7624  1 Cu 2.41, 1 Ag 2.66
18 Ag 0.5000 0.0000 0.5000  6 Cl 2.53-2.66
19 Cl 0.2376 0.2376 0.0000  1 Cu 2.41, 1 Ag 2.66
20 Cl 0.7624 0.7624 0.0000  1 Cu 2.41, 1 Ag 2.66

Values from the calculation:
The value obtained for the formation energy from raw total energies is -1.040 eV/atom. As for the space-group type: No. 229. The calculation puts the total magnetization at 0.00 μB/cell.


6.
This record from the Alexandria database describes crystalline K2Cu2AgCl6 at its relaxed geometry. The functional is PBE.

Lattice parameters (Å, degrees): 7.0323 7.4836 7.3024 114.48 90.00 118.02
Last column: nearest neighbours and their distance in Å.
Element x y z (fractional)
1 Cu 0.9507 0.9014 0.7799  3 Cl 2.19-2.23
2 Cu 0.0493 0.0986 0.2201  3 Cl 2.19-2.23
3 Ag 0.5000 0.0000 0.5000  4 Cl 2.60
4 Cl 0.2353 0.4707 0.3386  1 Cu 2.19
5 Cl 0.7647 0.5293 0.6614  1 Cu 2.19
6 K 0.7254 0.4509 0.1991  5 Cl 3.17-3.33
7 Cl 0.6916 0.8828 0.2051  1 Cu 2.23
8 Cl 0.8088 0.1172 0.7949  1 Cu 2.23
9 K 0.2746 0.5491 0.8009  5 Cl 3.17-3.33
10 Cl 0.3084 0.1172 0.7949  1 Cu 2.23
11 Cl 0.1912 0.8828 0.2051  1 Cu 2.23

Values from the calculation:
The value obtained for the formation energy from raw total energies is -1.012 eV/atom. As for the space-group type: No. 12. The calculation puts the total magnetization at 0.40 μB/cell.


7.
This record from the Alexandria database describes crystalline K2CuAg2Cl6 at its relaxed geometry. The functional is PBE.

Lattice parameters (Å, degrees): 7.6255 7.6255 7.6385 60.06 60.06 60.00
Last column: nearest neighbours and their distance in Å.
Element x y z (fractional)
1 Cl 0.7723 0.2119 0.2435  1 Cu 2.46, 1 Ag 2.47
2 Cl 0.7723 0.7723 0.2435  1 Cu 2.46, 1 Ag 2.47
3 Ag 0.4210 0.4210 0.7369  3 Cl 2.47
4 Cl 0.7881 0.2277 0.7565  1 Cu 2.46, 1 Ag 2.47
5 Cu 0.0000 0.0000 0.0000  6 Cl 2.46
6 K 0.2184 0.2184 0.3447  3 Cl 3.22
7 Cl 0.2277 0.7881 0.7565  1 Cu 2.46, 1 Ag 2.47
8 K 0.7816 0.7816 0.6553  3 Cl 3.22
9 Cl 0.2277 0.2277 0.7565  1 Cu 2.46, 1 Ag 2.47
10 Cl 0.2119 0.7723 0.2435  1 Cu 2.46, 1 Ag 2.47
11 Ag 0.5790 0.5790 0.2631  3 Cl 2.47

Values from the calculation:
The value obtained for the formation energy from raw total energies is -0.931 eV/atom. As for the space-group type: No. 166. The calculation puts the total magnetization at 1.05 μB/cell.


8.
This record from the Alexandria database describes crystalline KCu2Ag2Cl7 at its relaxed geometry. The functional is PBE.

Lattice parameters (Å, degrees): 7.0025 7.0025 10.8381 71.15 71.15 60.00
Last column: nearest neighbours and their distance in Å.
Element x y z (fractional)
1 Cl 0.1076 0.7788 0.7131  1 Cu 2.27, 1 Ag 2.48
2 K 0.5000 0.5000 0.5000  6 Cl 3.19
3 Cl 0.8924 0.5995 0.2869  1 Cu 2.27, 1 Ag 2.48
4 Cu 0.0748 0.0748 0.7757  4 Cl 2.26-2.27
5 Cl 0.4005 0.1076 0.7131  1 Cu 2.27, 1 Ag 2.48
6 Cl 0.7788 0.4005 0.7131  1 Cu 2.27, 1 Ag 2.48
7 Cu 0.9252 0.9252 0.2243  4 Cl 2.26-2.27
8 Cl 0.2212 0.8924 0.2869  1 Cu 2.27, 1 Ag 2.48
9 Ag 0.7579 0.7579 0.7264  3 Cl 2.48
10 Cl 0.5995 0.2212 0.2869  1 Cu 2.27, 1 Ag 2.48
11 Cl 0.0000 0.0000 0.0000  2 Cu 2.26
12 Ag 0.2421 0.2421 0.2736  3 Cl 2.48

Values from the calculation:
The value obtained for the formation energy from raw total energies is -0.674 eV/atom. As for the space-group type: No. 155. The calculation puts the total magnetization at 1.99 μB/cell.


9.
This record from the Alexandria database describes crystalline KCu4Ag3Cl12 at its relaxed geometry. The functional is PBE.

Lattice parameters (Å, degrees): 8.5610 8.5610 8.5610 105.28 105.28 105.28
Last column: nearest neighbours and their distance in Å.
Element x y z (fractional)
1 Cu 0.9233 0.0767 0.5000  3 Cl 2.16-2.22
2 Cu 0.5000 0.9233 0.0767  3 Cl 2.16-2.22
3 Cl 0.0861 0.9139 0.5000  1 Cu 2.22
4 Cl 0.7585 0.0114 0.6426  1 Cu 2.16
5 Cl 0.6613 0.5000 0.3387  1 Cu 2.19
6 Cl 0.0114 0.6426 0.7585  1 Cu 2.16
7 Cl 0.2415 0.3574 0.9886  1 Cu 2.16
8 Cu 0.5000 0.5000 0.5000  3 Cl 2.19
9 Cl 0.9886 0.2415 0.3574  1 Cu 2.16
10 Cu 0.0767 0.5000 0.9233  3 Cl 2.16-2.22
11 Ag 0.0000 0.5674 0.4326  6 Cl 2.65-2.72
12 Cl 0.5000 0.3387 0.6613  1 Cu 2.19
13 Ag 0.4326 0.0000 0.5674  6 Cl 2.65-2.72
14 Cl 0.9139 0.5000 0.0861  1 Cu 2.22
15 Cl 0.3574 0.9886 0.2415  1 Cu 2.16
16 Cl 0.5000 0.0861 0.9139  1 Cu 2.22
17 K 0.0000 0.0000 0.0000  6 Cl 3.25
18 Cl 0.3387 0.6613 0.5000  1 Cu 2.19
19 Cl 0.6426 0.7585 0.0114  1 Cu 2.16
20 Ag 0.5674 0.4326 0.0000  6 Cl 2.65-2.72

Values from the calculation:
The value obtained for the formation energy from raw total energies is -0.589 eV/atom. As for the space-group type: No. 155. The calculation puts the total magnetization at 0.61 μB/cell.